1.
Sr3Pr3AgS8: optimized geometry, GGA-PBE.

N(E_F)	0.003	states/eV/atom
E_form (uncorrected)	-1781	meV per atom
M_tot	0.0	μB/f.u.

Lattice parameters (Å, degrees): 8.2933 8.2933 20.6282 90.00 90.00 120.00
With the nearest neighbours (Å) after each atom.
Space group R-3m (No. 166, hexagonal axes)
Unique sites:
Sr 0.0000 0.5000 0.0000 (multiplicity 9)  6 S 2.99-3.03
Pr 0.0000 0.5000 0.5000 (multiplicity 9)  6 S 2.87-2.91
Ag 0.0000 0.0000 0.5000 (multiplicity 3)  6 S 2.90
S 0.0000 0.0000 0.2465 (multiplicity 6)  3 Pr 2.91, 3 Sr 2.99
S 0.0037 0.5019 0.7557 (multiplicity 18)  2 Pr 2.87, 1 Ag 2.90, 2 Sr 3.03

2.
K4Tl2O: optimized geometry, GGA-PBE.

N(E_F)	0.445	states/eV/atom
E_form (uncorrected)	-452	meV per atom
M_tot	0.0	μB/f.u.

Lattice parameters (Å, degrees): 7.3302 3.8099 9.2037 90.00 102.92 90.00
With the nearest neighbours (Å) after each atom.
Space group P2/m (No. 10)
Unique sites:
K 0.0694 0.0000 0.2931 (multiplicity 2)  1 O 2.63
K 0.2421 0.5000 0.0070 (multiplicity 2)  2 O 2.59
Tl 0.3913 0.5000 0.6206 (multiplicity 2)  1 Tl 3.01
O 0.0000 0.0000 0.0000 (multiplicity 1)  6 K 2.59-2.63